Compound: Co5RuO8
Source: Alexandria via LeMat-Bulk
Functional: GGA-PBEsol
Structure: optimized geometry

* symmetry: No. 166
* volume: 132.5 Å³ per cell
* formation energy without anion corrections: -0.926 eV per atom

Cell: 5.670 5.670 5.776 Å, 60.61 60.61 60.00°
Fractional coordinates of all 14 atoms:
Co1 0.000 0.500 0.000
Co2 0.500 0.000 0.000
Co3 0.129 0.129 0.612
Co4 0.871 0.871 0.388
Co5 0.500 0.500 0.000
O1 0.737 0.737 0.790
O2 0.253 0.253 0.774
O3 0.280 0.747 0.226
O4 0.263 0.263 0.210
O5 0.253 0.720 0.774
O6 0.747 0.280 0.226
O7 0.747 0.747 0.226
O8 0.720 0.253 0.774
Ru1 0.500 0.500 0.500



Compound: CoSbRu2O
Source: Alexandria via LeMat-Bulk
Functional: GGA-PBEsol
Structure: optimized geometry

* symmetry: No. 123
* volume: 72.9 Å³ per cell
* formation energy without anion corrections: 0.473 eV per atom

Cell: 3.332 4.678 4.678 Å, 90.00 90.00 90.00°
Fractional coordinates of all 5 atoms:
Co1 0.000 0.000 0.000
Ru1 0.000 0.000 0.500
Ru2 0.000 0.500 0.000
O1 0.500 0.000 0.000
Sb1 0.500 0.500 0.500



Compound: Sr3CoRuO6
Source: Alexandria via LeMat-Bulk
Functional: GGA-PBEsol
Structure: optimized geometry

* symmetry: No. 15
* volume: 288.2 Å³ per cell
* formation energy without anion corrections: -2.005 eV per atom

Cell: 6.649 6.595 6.595 Å, 92.99 92.49 92.49°
Fractional coordinates of all 22 atoms:
Co1 0.750 0.757 0.243
Co2 0.250 0.243 0.757
O1 0.907 0.033 0.210
O2 0.093 0.967 0.790
O3 0.713 0.903 0.532
O4 0.287 0.097 0.468
O5 0.787 0.468 0.097
O6 0.542 0.411 0.715
O7 0.458 0.589 0.285
O8 0.042 0.715 0.411
O9 0.407 0.210 0.033
O10 0.593 0.790 0.967
O11 0.958 0.285 0.589
O12 0.213 0.532 0.903
Sr1 0.750 0.116 0.884
Sr2 0.385 0.750 0.615
Sr3 0.615 0.250 0.385
Sr4 0.115 0.385 0.250
Sr5 0.885 0.615 0.750
Sr6 0.250 0.884 0.116
Ru1 0.500 0.500 0.000
Ru2 0.000 0.000 0.500



Compound: Sr2CoRuO6
Source: Alexandria via LeMat-Bulk
Functional: GGA-PBEsol
Structure: optimized geometry

* symmetry: No. 148
* volume: 112.5 Å³ per cell
* formation energy without anion corrections: -1.821 eV per atom

Cell: 5.382 5.382 5.382 Å, 60.89 60.89 60.89°
Fractional coordinates of all 10 atoms:
O1 0.753 0.294 0.200
O2 0.200 0.753 0.294
O3 0.706 0.800 0.247
O4 0.800 0.247 0.706
O5 0.294 0.200 0.753
O6 0.247 0.706 0.800
Sr1 0.249 0.249 0.249
Sr2 0.751 0.751 0.751
Co1 0.000 0.000 0.000
Ru1 0.500 0.500 0.500



Compound: CoSO2
Source: Alexandria via LeMat-Bulk
Functional: GGA-PBEsol
Structure: optimized geometry

* symmetry: No. 166
* volume: 40.7 Å³ per cell
* formation energy without anion corrections: -0.577 eV per atom

Cell: 2.867 2.867 5.950 Å, 76.06 76.06 60.00°
Fractional coordinates of all 4 atoms:
Co1 0.500 0.500 0.500
O1 0.111 0.111 0.667
O2 0.889 0.889 0.333
S1 0.000 0.000 0.000



Compound: CoSO4
Source: Alexandria via LeMat-Bulk
Functional: GGA-PBEsol
Structure: optimized geometry

* symmetry: No. 63
* volume: 130.5 Å³ per cell
* formation energy without anion corrections: -1.120 eV per atom

Cell: 4.703 4.703 6.416 Å, 90.00 90.00 113.14°
Fractional coordinates of all 12 atoms:
O1 0.247 0.753 0.442
O2 0.776 0.697 0.750
O3 0.303 0.224 0.750
O4 0.697 0.776 0.250
O5 0.753 0.247 0.558
O6 0.224 0.303 0.250
O7 0.247 0.753 0.058
O8 0.753 0.247 0.942
S1 0.651 0.349 0.750
S2 0.349 0.651 0.250
Co1 0.000 0.000 0.000
Co2 0.000 0.000 0.500



Compound: CoS2O8
Source: Alexandria via LeMat-Bulk
Functional: GGA-PBEsol
Structure: optimized geometry

* symmetry: No. 146
* volume: 392.3 Å³ per cell
* formation energy without anion corrections: -1.047 eV per atom

Cell: 7.888 7.888 8.589 Å, 62.66 62.66 60.00°
Fractional coordinates of all 33 atoms:
Co1 0.646 0.646 0.062
Co2 0.152 0.152 0.544
Co3 0.355 0.355 0.935
O1 0.032 0.655 0.259
O2 0.012 0.325 0.695
O3 0.469 0.730 0.929
O4 0.393 0.757 0.234
O5 0.630 0.246 0.797
O6 0.873 0.469 0.929
O7 0.329 0.294 0.407
O8 0.246 0.328 0.797
O9 0.655 0.053 0.259
O10 0.053 0.032 0.259
O11 0.045 0.654 0.618
O12 0.325 0.968 0.695
O13 0.757 0.616 0.234
O14 0.730 0.873 0.929
O15 0.970 0.329 0.407
O16 0.294 0.970 0.407
O17 0.654 0.683 0.618
O18 0.455 0.380 0.073
O19 0.968 0.012 0.695
O20 0.683 0.045 0.618
O21 0.328 0.630 0.797
O22 0.380 0.091 0.073
O23 0.616 0.393 0.234
O24 0.091 0.455 0.073
S1 0.045 0.460 0.749
S2 0.524 0.262 0.244
S3 0.971 0.524 0.244
S4 0.262 0.971 0.244
S5 0.460 0.746 0.749
S6 0.746 0.045 0.749



Compound: CoSO4
Source: Alexandria via LeMat-Bulk
Functional: GGA-PBEsol
Structure: optimized geometry

* symmetry: No. 62
* volume: 267.5 Å³ per cell
* formation energy without anion corrections: -1.122 eV per atom

Cell: 4.735 6.601 8.559 Å, 90.00 90.00 90.00°
Fractional coordinates of all 24 atoms:
S1 0.526 0.250 0.178
S2 0.974 0.250 0.678
S3 0.026 0.750 0.322
S4 0.474 0.750 0.822
Co1 0.500 0.000 0.500
Co2 0.000 0.000 0.000
Co3 0.000 0.500 0.000
Co4 0.500 0.500 0.500
O1 0.664 0.437 0.124
O2 0.544 0.250 0.354
O3 0.836 0.437 0.624
O4 0.164 0.563 0.376
O5 0.456 0.750 0.646
O6 0.664 0.063 0.124
O7 0.164 0.937 0.376
O8 0.773 0.750 0.876
O9 0.227 0.250 0.124
O10 0.044 0.750 0.146
O11 0.727 0.750 0.376
O12 0.836 0.063 0.624
O13 0.336 0.563 0.876
O14 0.336 0.937 0.876
O15 0.956 0.250 0.854
O16 0.273 0.250 0.624